Entry from Alexandria: crystalline BaCd2Fe at its relaxed geometry (PBE-GGA).

Geometry as POSCAR:
```
BaCd2Fe
1.0
3.672 0.000 0.000
0.000 4.657 0.000
-1.826 0.000 6.521
Ba Cd Fe
1 2 1
direct
0.000 0.000 0.000
0.266 0.000 0.529
0.694 0.500 0.387
0.364 0.500 0.726
```

Properties
As for the formation energy: 325 meV per atom. As for the symmetry: No. 6. The density of states at the Fermi level comes out at 4.9 states/eV/cell. The value obtained for the calculated volume is 27.876 Å³ per atom.